CsK2PIr: relaxed, PBE-GGA.

Properties
The symmetry is No. 123. The calculated formation energy comes out at -0.07 eV per formula unit. The calculation puts the total magnetization at 0.0 μB/f.u. The calculation puts the density of states at the Fermi level at 2.89 states/eV per cell.

a = 6.366 Å, b = 6.366 Å, c = 4.476 Å
α = 90.00°, β = 90.00°, γ = 90.00°
Element x y z (fractional)
Cs: 0.000 0.000 0.000
K: 0.000 0.500 0.500
K: 0.500 0.000 0.500
P: 0.500 0.500 0.000
Ir: 0.500 0.500 0.500